A plane-wave DFT calculation with PBE was carried out for a relaxed structure of DyTm12In3.

a b c (Å): 4.804 4.804 19.486
angles (deg): 90.00 90.00 90.00
Sites, in units of the cell vectors:
Tm 0.500 0.500 0.500
Tm 0.500 0.000 0.377
Tm 0.500 0.000 0.870
Tm 0.000 0.500 0.130
Tm 0.500 0.000 0.130
Tm 0.000 0.500 0.870
Tm 0.500 0.500 0.745
Tm 0.000 0.500 0.377
Tm 0.500 0.000 0.623
Tm 0.500 0.500 0.000
Tm 0.000 0.500 0.623
Tm 0.500 0.500 0.255
In 0.000 0.000 0.500
In 0.000 0.000 0.256
In 0.000 0.000 0.744
Dy 0.000 0.000 0.000

## Properties
Total magnetic moment (μB/f.u.): 0.00
SG: P4/mmm
Formation energy (eV per atom): -0.184



A plane-wave DFT calculation with PBE was carried out for a relaxed structure of ErTh7Sc2.

a b c (Å): 4.971 8.610 10.520
angles (deg): 122.87 103.74 54.66
Sites, in units of the cell vectors:
Th 0.098 0.702 0.598
Th 0.201 0.399 0.200
Th 0.500 0.500 0.000
Th 0.799 0.601 0.800
Th 0.299 0.097 0.792
Th 0.902 0.298 0.402
Th 0.701 0.903 0.208
Sc 0.602 0.199 0.602
Sc 0.398 0.801 0.398
Er 0.000 0.000 0.000

## Properties
Total magnetic moment (μB/f.u.): 0.00
SG: P-1
Formation energy (eV per atom): 0.054



A plane-wave DFT calculation with PBE was carried out for a relaxed structure of YCuAu2Cl.

a b c (Å): 4.967 4.970 4.967
angles (deg): 90.00 90.00 90.00
Sites, in units of the cell vectors:
Cu 0.500 0.500 0.500
Au 0.000 0.000 0.500
Au 0.500 0.000 0.000
Cl 0.000 0.000 0.000
Y 0.000 0.500 0.000

## Properties
Formation energy without anion corrections (eV/atom): 0.43
Total magnetic moment (μB/f.u.): 0.00
SG: P4/mmm